Entry 1:
Cs5HoSe4: relaxed, GGA-PBE.

Computed properties:
E_form (uncorrected), eV per formula unit: -11.7
Raw total energy, eV per atom: -3.453

Lattice parameters (Å, degrees): 21.390 4.708 9.335 90.00 108.62 90.00
Space group C2/m (No. 12)
Asymmetric unit:
Cs: 0.000 0.000 0.000 x2
Cs: 0.162 0.500 0.869 x4
Cs: 0.168 0.500 0.369 x4
Ho: 0.000 0.000 0.500 x2
Se: 0.001 0.500 0.294 x4
Se: 0.146 0.000 0.609 x4

Entry 2:
Cs3PaSn2Se6: relaxed, GGA-PBE.

Computed properties:
E_form (uncorrected), eV per formula unit: -13.1
Raw total energy, eV per atom: -4.505

Lattice parameters (Å, degrees): 7.682 13.279 8.590 90.00 107.19 90.00
Space group C2/m (No. 12)
Asymmetric unit:
Cs: 0.000 0.000 0.000 x2
Cs: 0.000 0.325 0.000 x4
Pa: 0.000 0.500 0.500 x2
Sn: 0.000 0.166 0.500 x4
Se: 0.216 0.345 0.684 x8
Se: 0.245 0.500 0.312 x4

Entry 3:
TiPbS2: relaxed, GGA-PBE.

Computed properties:
E_form (uncorrected), eV per formula unit: -3.9
Raw total energy, eV per atom: -5.937

Lattice parameters (Å, degrees): 5.972 3.444 8.410 90.00 101.03 90.00
Space group C2/m (No. 12)
Asymmetric unit:
Ti: 0.000 0.000 0.000 x2
Pb: 0.000 0.000 0.500 x2
S: 0.121 0.500 0.825 x4